# 1
## Sr2ScCu3Sb4 (GGA-PBE)

Data for a relaxed structure of Sr2ScCu3Sb4.

As for the density of states at the Fermi level: 3.42 states/eV/f.u. The formation energy (no corrections) is -51.93 kJ per mole of atoms. The volume comes out at 246.0 Å³/cell.

The space group is P-4m2 (No. 115) and the conventional cell measures 4.688, 4.688 and 11.196 Å, with angles of 90.00, 90.00 and 90.00 degrees. The asymmetric unit holds Sr at (0.000, 0.500, 0.230), Sc at (0.000, 0.000, 0.500), Cu at (0.000, 0.500, 0.879), Cu at (0.500, 0.500, 0.500), Sb at (0.000, 0.000, 0.000), Sb at (0.000, 0.500, 0.644) and Sb at (0.500, 0.500, 0.000).

---

# 2
## ScCuSb2Te (GGA-PBE)

Data for a relaxed structure of ScCuSb2Te.

As for the density of states at the Fermi level: 5.32 states/eV/f.u. The formation energy (no corrections) is 20.43 kJ per mole of atoms. The volume comes out at 133.4 Å³/cell. Its energy above the most stable polymorph in this dataset is 0 meV per atom.

The space group is P4/mmm (No. 123) and the conventional cell measures 5.035, 5.035 and 5.264 Å, with angles of 90.00, 90.00 and 90.00 degrees. The asymmetric unit holds Sc at (0.000, 0.000, 0.000), Cu at (0.500, 0.500, 0.500), Sb at (0.000, 0.500, 0.500) and Te at (0.500, 0.500, 0.000).

---

# 3
## ScCuSb2Te (GGA-PBE)

Data for a relaxed structure of ScCuSb2Te.

As for the density of states at the Fermi level: 4.51 states/eV/f.u. The formation energy (no corrections) is 43.71 kJ per mole of atoms. The volume comes out at 162.5 Å³/cell. Its energy above the most stable polymorph in this dataset is 241 meV per atom.

The space group is P4/mmm (No. 123) and the conventional cell measures 5.463, 5.463 and 5.445 Å, with angles of 90.00, 90.00 and 90.00 degrees. The asymmetric unit holds Sc at (0.000, 0.000, 0.000), Cu at (0.500, 0.500, 0.500), Sb at (0.000, 0.500, 0.000) and Te at (0.000, 0.000, 0.500).

---

# 4
## ZrScCu2Sb (GGA-PBE)

Data for a relaxed structure of ZrScCu2Sb.

As for the density of states at the Fermi level: 5.91 states/eV/f.u. The formation energy (no corrections) is 93.87 kJ per mole of atoms. The volume comes out at 123.4 Å³/cell.

The space group is P4/mmm (No. 123) and the conventional cell measures 4.856, 4.856 and 5.234 Å, with angles of 90.00, 90.00 and 90.00 degrees. The asymmetric unit holds Zr at (0.000, 0.000, 0.000), Sc at (0.000, 0.000, 0.500), Cu at (0.000, 0.500, 0.000) and Sb at (0.500, 0.500, 0.500).

---

Question: Which of these has the lowest formation energy (no corrections)?
Answer: Sr2ScCu3Sb4

---

Question: Which formula does entry 3 have?
Answer: ScCuSb2Te

---

Question: Look up the volume of the second one.
Answer: 133.4 Å³/cell